# 1
The following is a DFT calculation (PBE) of a relaxed HfTl2Bi2O6 crystal.

* M_tot: 0.00 μB/atom

Cell lengths 6.0111, 5.9062, 8.0114 Å; angles 99.01, 90.00, 120.59 degrees
Fractional positions:
Hf (0.5000, 0.0000, 0.5000)
Tl (0.7956, 0.5912, 0.2839)
O (0.7595, 0.0184, 0.3203)
Bi (0.1246, 0.2493, 0.2335)
O (0.7107, 0.4213, 0.5641)
Bi (0.8754, 0.7507, 0.7665)
O (0.2405, 0.9816, 0.6797)
Tl (0.2044, 0.4088, 0.7161)
O (0.2589, 0.0184, 0.3203)
O (0.2893, 0.5787, 0.4359)
O (0.7411, 0.9816, 0.6797)


# 2
The following is a DFT calculation (PBE) of a relaxed HfUBiO6 crystal.

* M_tot: 0.11 μB/atom

Cell lengths 5.6822, 5.6822, 9.7088 Å; angles 90.00, 90.00, 120.00 degrees
Last column: magnetic moment on the atom in μB.
Fractional positions:
O (0.0082, 0.3603, 0.6379)  -0.02
Hf (0.6667, 0.3333, 0.2500)  0.00
Bi (0.0000, 0.0000, 0.5000)  0.00
O (0.6397, 0.9918, 0.8621)  -0.02
O (0.6479, 0.0082, 0.3621)  -0.02
U (0.6667, 0.3333, 0.7500)  1.07
O (0.0082, 0.6479, 0.8621)  -0.02
O (0.9918, 0.6397, 0.3621)  -0.02
O (0.3521, 0.9918, 0.6379)  -0.02
O (0.3521, 0.3603, 0.8621)  -0.02
Hf (0.3333, 0.6667, 0.7500)  0.00
O (0.6479, 0.6397, 0.1379)  -0.02
U (0.3333, 0.6667, 0.2500)  1.07
O (0.9918, 0.3521, 0.1379)  -0.02
Bi (0.0000, 0.0000, 0.0000)  0.00
O (0.3603, 0.3521, 0.3621)  -0.02
O (0.3603, 0.0082, 0.1379)  -0.02
O (0.6397, 0.6479, 0.6379)  -0.02


# 3
The following is a DFT calculation (PBE) of a relaxed HfZn2BiO crystal.

* M_tot: 0.00 μB/atom

Cell lengths 5.5201, 3.8963, 5.5201 Å; angles 90.00, 90.00, 90.00 degrees
Fractional positions:
Bi (0.5000, 0.5000, 0.5000)
Zn (0.0000, 0.0000, 0.5000)
Hf (0.0000, 0.0000, 0.0000)
Zn (0.5000, 0.0000, 0.0000)
O (0.0000, 0.5000, 0.0000)


# 4
The following is a DFT calculation (PBE) of a relaxed HfZrBiO6 crystal.

* M_tot: 0.00 μB/atom

Cell lengths 4.9979, 4.9979, 10.0494 Å; angles 90.00, 90.00, 91.00 degrees
Fractional positions:
O (0.1944, 0.8056, 0.1657)
O (0.8056, 0.1944, 0.1657)
O (0.6908, 0.6908, 0.9983)
Zr (0.5000, 0.5000, 0.1679)
Hf (0.0000, 0.0000, 0.3344)
Zr (0.0000, 0.0000, 0.6633)
O (0.8010, 0.1990, 0.8362)
O (0.8228, 0.1772, 0.4970)
O (0.1772, 0.8228, 0.4970)
O (0.2976, 0.2976, 0.6888)
O (0.1990, 0.8010, 0.8362)
Bi (0.5000, 0.5000, 0.5008)
O (0.3092, 0.3092, 0.9983)
O (0.2945, 0.2945, 0.3139)
O (0.7055, 0.7055, 0.3139)
Hf (0.5000, 0.5000, 0.8344)
O (0.7024, 0.7024, 0.6888)
Bi (0.0000, 0.0000, 0.9994)


Computed values of electronic total energy (unit: eV/atom) for the preceding records, in sequence: -6.32 -8.83 -4.71 -8.36.
Computed values of E_form (uncorrected) (unit: eV per atom) for the preceding records, in sequence: -1.577 -2.736 -0.440 -2.572.